Run a
Here is an optimized crystal structure of LiCaCd from Alexandria. Energies are from PBE.

Unit cell a=3.7714 b=3.7714 c=10.6646 alpha=90.00 beta=90.00 gamma=90.00
With the nearest neighbours (Å) after each atom.
Space group I4mm (No. 107)
Inequivalent atoms, fractional coordinates:
1 Li 0.0000 0.0000 0.0000  4 Cd 2.96, 1 Ca 3.24
2 Ca 0.0000 0.0000 0.3035  5 Li 3.24-3.39, 5 Cd 3.30-3.38
3 Cd 0.0000 0.0000 0.6206  4 Li 2.96, 4 Ca 3.30

Properties
- V: 25.3 Å³/atom
- M_tot: 0.0 Bohr magnetons per cell

=====

Run b
Here is an optimized crystal structure of LiCaCd from Alexandria. Energies are from PBE.

Unit cell a=3.8906 b=3.8906 c=6.5033 alpha=90.00 beta=90.00 gamma=120.00
With the nearest neighbours (Å) after each atom.
Space group P3m1 (No. 156)
Inequivalent atoms, fractional coordinates:
1 Li 0.0000 0.0000 0.0000  3 Cd 2.77
2 Ca 0.6667 0.3333 0.3923  3 Cd 3.24, 3 Li 3.40
3 Cd 0.3333 0.6667 0.7512  3 Li 2.77

Properties
- V: 28.4 Å³/atom
- M_tot: 0.0 Bohr magnetons per cell

=====

Run c
Here is an optimized crystal structure of LiCaCd from Alexandria. Energies are from PBE.

Unit cell a=7.2033 b=7.2033 c=7.2033 alpha=90.00 beta=90.00 gamma=90.00
With the nearest neighbours (Å) after each atom.
Space group F-43m (No. 216)
Inequivalent atoms, fractional coordinates:
1 Li 0.0000 0.0000 0.0000  4 Cd 3.12
2 Ca 0.0000 0.0000 0.5000  4 Cd 3.12
3 Cd 0.2500 0.2500 0.2500  4 Li 3.12, 4 Ca 3.12

Properties
- V: 31.1 Å³/atom
- M_tot: 0.0 Bohr magnetons per cell

=====

Run d
Here is an optimized crystal structure of LiCaCd from Alexandria. Energies are from PBE.

Unit cell a=4.9153 b=4.9153 c=3.8145 alpha=90.00 beta=90.00 gamma=120.00
With the nearest neighbours (Å) after each atom.
Space group P3m1 (No. 156)
Inequivalent atoms, fractional coordinates:
1 Li 0.0000 0.0000 0.0000  3 Cd 2.84
2 Ca 0.6667 0.3333 0.5015  6 Li 3.42, 6 Cd 3.42, 2 Ca 3.81
3 Cd 0.3333 0.6667 0.0023  3 Li 2.84

Properties
- V: 26.6 Å³/atom
- M_tot: 0.0 Bohr magnetons per cell

=====

Q: Which of them is the least stable? A: run c.

=====

Run a
Here is an optimized crystal structure of LiCaCd from Alexandria. Energies are from PBE.

Unit cell a=4.9582 b=6.0712 c=6.2016 alpha=83.42 beta=67.05 gamma=66.15
With the nearest neighbours (Å) after each atom.
Space group P-1 (No. 2)
Inequivalent atoms, fractional coordinates:
1 Li 0.0822 0.0795 0.2565  3 Cd 2.82-2.88, 1 Li 2.96
2 Ca 0.2412 0.3130 0.7037  6 Cd 3.28-3.50, 4 Li 3.31-3.47
3 Cd 0.4528 0.7245 0.8714  3 Li 2.82-2.88, 1 Cd 2.96

Properties
- V: 26.2 Å³/atom
- M_tot: 0.0 Bohr magnetons per cell

=====

Run b
Here is an optimized crystal structure of LiCaCd from Alexandria. Energies are from PBE.

Unit cell a=4.3985 b=4.3985 c=16.5163 alpha=90.00 beta=90.00 gamma=90.00
With the nearest neighbours (Å) after each atom.
Space group I4/mmm (No. 139)
Inequivalent atoms, fractional coordinates:
1 Li 0.0000 0.5000 0.0000  4 Cd 2.90, 4 Li 3.11
2 Ca 0.0000 0.0000 0.1785  5 Cd 3.29-3.42, 4 Li 3.68
3 Cd 0.0000 0.0000 0.3856  4 Li 2.90

Properties
- V: 26.6 Å³/atom
- M_tot: 0.0 Bohr magnetons per cell

=====

Q: Which of them is the least stable? A: run a.

=====

Run a
Here is an optimized crystal structure of Li5CaCd from Alexandria. Energies are from PBE.

Unit cell a=5.6046 b=6.4759 c=9.2552 alpha=104.95 beta=94.42 gamma=101.11
With the nearest neighbours (Å) after each atom.
Space group P1 (No. 1)
Inequivalent atoms, fractional coordinates:
1 Li 0.0000 0.0000 0.0000  4 Li 2.78-3.10, 1 Cd 2.79
2 Li 0.0122 0.6513 0.6994  4 Li 2.78-3.08, 2 Cd 2.78-2.87
3 Li 0.0839 0.9433 0.5216  3 Li 2.77-2.83, 1 Cd 2.77
4 Li 0.1758 0.3076 0.8363  4 Li 2.82-3.12, 1 Cd 2.89
5 Li 0.3365 0.1056 0.3145  4 Li 2.77-2.94, 1 Cd 3.09
6 Li 0.4148 0.4402 0.6074  4 Li 2.76-2.94, 1 Cd 3.07
7 Li 0.5778 0.2362 0.0859  4 Li 2.82-3.10, 1 Cd 2.89
8 Li 0.6678 0.5986 0.3995  1 Cd 2.76, 3 Li 2.76-2.83
9 Li 0.7369 0.8910 0.2224  2 Cd 2.78-2.88, 5 Li 2.78-3.11
10 Li 0.7501 0.5434 0.9220  3 Li 2.78-2.89, 1 Cd 2.79
11 Ca 0.1446 0.5388 0.2162  11 Li 3.18-3.52, 2 Cd 3.34-3.44
12 Ca 0.6086 0.0070 0.7039  11 Li 3.17-3.52, 2 Cd 3.34-3.44
13 Cd 0.3763 0.7727 0.9597  6 Li 2.79-2.89
14 Cd 0.8777 0.2719 0.4599  6 Li 2.76-3.09

Properties
- V: 22.5 Å³/atom
- M_tot: 0.0 Bohr magnetons per cell

=====

Run b
Here is an optimized crystal structure of Li5CaCd from Alexandria. Energies are from PBE.

Unit cell a=4.0572 b=4.0572 c=9.9829 alpha=90.00 beta=90.00 gamma=90.00
With the nearest neighbours (Å) after each atom.
Space group P4/mmm (No. 123)
Inequivalent atoms, fractional coordinates:
1 Li 0.0000 0.0000 0.0000  4 Cd 2.87, 8 Li 2.97
2 Li 0.0000 0.5000 0.2172  6 Li 2.87-2.97, 2 Cd 2.97
3 Ca 0.0000 0.0000 0.5000  8 Li 3.48
4 Cd 0.5000 0.5000 0.0000  12 Li 2.87-2.97

Properties
- V: 23.5 Å³/atom
- M_tot: 0.0 Bohr magnetons per cell

=====

Q: Which of them is the least stable? A: run b.

=====

Run a
Here is an optimized crystal structure of Li5Ca2Cd from Alexandria. Energies are from PBE.

Unit cell a=6.0986 b=6.0986 c=12.2346 alpha=90.00 beta=90.00 gamma=90.00
With the nearest neighbours (Å) after each atom.
Space group I4mm (No. 107)
Inequivalent atoms, fractional coordinates:
1 Li 0.0000 0.0000 0.0000  1 Cd 2.60, 4 Li 2.79
2 Li 0.2471 0.2471 0.6421  1 Cd 2.78, 5 Li 2.79-3.08
3 Ca 0.0000 0.5000 0.3864  2 Cd 3.28, 2 Li 3.35
4 Cd 0.0000 0.0000 0.7877  5 Li 2.60-2.78

Properties
- V: 28.4 Å³/atom
- M_tot: 0.0 Bohr magnetons per cell

=====

Run b
Here is an optimized crystal structure of Li5Ca2Cd from Alexandria. Energies are from PBE.

Unit cell a=5.2395 b=5.2395 c=14.2738 alpha=90.00 beta=90.00 gamma=90.00
With the nearest neighbours (Å) after each atom.
Space group I4/mmm (No. 139)
Inequivalent atoms, fractional coordinates:
1 Li 0.0000 0.0000 0.0000  8 Li 2.96
2 Li 0.0000 0.5000 0.0972  3 Li 2.78-2.96, 2 Cd 2.96
3 Ca 0.0000 0.0000 0.2574  9 Li 3.34-3.67, 1 Cd 3.46, 4 Ca 3.71
4 Cd 0.0000 0.0000 0.5000  8 Li 2.96

Properties
- V: 24.5 Å³/atom
- M_tot: 0.0 Bohr magnetons per cell

=====

Q: Which of them is the least stable? A: run a.